Entry 1:
VASP calculation (PBE+U) on WIF2 after structural relaxation.

POSCAR file:
```
WIF2
1.0
1.907 1.101 7.288
-1.907 1.101 7.288
0.000 -2.202 7.288
W I F
1 1 2
Direct
0.000 0.000 0.000
0.500 0.500 0.500
0.356 0.356 0.356
0.644 0.644 0.644
```

- Space-group type: R-3m, No. 166
- Fermi-level density of states: 1.80 states/eV per cell
- Total magnetization: 3.41 μB per formula unit
- Calculated total energy: -4.135 eV per atom

Entry 2:
VASP calculation (PBE+U) on WI2F2 after structural relaxation.

POSCAR file:
```
WI2F2
1.0
-3.453 3.453 3.223
3.453 -3.453 3.223
3.453 3.453 -3.223
W I F
1 2 2
Direct
0.000 0.000 0.000
0.250 0.750 0.500
0.750 0.250 0.500
0.290 0.290 0.000
0.710 0.710 0.000
```

- Space-group type: I4/mmm, No. 139
- Fermi-level density of states: 0.90 states/eV per cell
- Total magnetization: 2.89 μB per formula unit
- Calculated total energy: -3.611 eV per atom

Entry 3:
VASP calculation (PBE+U) on WIF2 after structural relaxation.

POSCAR file:
```
WIF2
1.0
1.569 0.906 10.936
-1.569 0.906 10.936
0.000 -1.812 10.936
W I F
1 1 2
Direct
0.000 0.000 0.000
0.500 0.500 0.500
0.057 0.057 0.057
0.943 0.943 0.943
```

- Space-group type: R-3m, No. 166
- Fermi-level density of states: 1.60 states/eV per cell
- Total magnetization: 0.00 μB per formula unit
- Calculated total energy: -4.084 eV per atom

Entry 4:
VASP calculation (PBE+U) on WI3F after structural relaxation.

POSCAR file:
```
WI3F
1.0
5.088 0.000 0.000
0.000 5.088 0.000
0.000 0.000 5.088
W I F
1 3 1
Direct
0.000 0.000 0.000
0.000 0.500 0.500
0.500 0.000 0.500
0.500 0.500 0.000
0.500 0.500 0.500
```

- Space-group type: Pm-3m, No. 221
- Fermi-level density of states: 14.29 states/eV per cell
- Total magnetization: 0.00 μB per formula unit
- Calculated total energy: -1.059 eV per atom

Entry 5:
VASP calculation (PBE+U) on WIF2 after structural relaxation.

POSCAR file:
```
WIF2
1.0
-2.574 2.574 6.652
2.574 -2.574 6.652
2.574 2.574 -6.652
W I F
2 2 4
Direct
0.375 0.625 0.750
0.625 0.375 0.250
0.125 0.875 0.250
0.875 0.125 0.750
0.000 0.500 0.500
0.500 0.000 0.000
0.500 0.500 0.000
0.500 0.500 0.500
```

- Space-group type: I4_1/amd, No. 141
- Fermi-level density of states: 0.00 states/eV per cell
- Total magnetization: 3.00 μB per formula unit
- Calculated total energy: -4.297 eV per atom

Which of these has the lowest Fermi-level density of states?
number 5

Which value of Fermi-level density of states does entry 2 give?
0.90 states/eV per cell